[1]
Entry from the Open Quantum Materials Database: an optimized crystal structure of TmZnMo (PBE).

Lattice parameters (Å, degrees): 4.4614 4.4614 4.4614 60.00 60.00 60.00
With the nearest neighbours (Å) after each atom.
Positions (direct):
Mo 0.2500 0.2500 0.2500  4 Zn 2.73
Tm 0.7500 0.7500 0.7500  4 Zn 2.73
Zn 0.0000 0.0000 0.0000  4 Tm 2.73, 4 Mo 2.73

Summary:
Offset from the most stable computed form   0 meV/atom
Formation energy from the elements   0.58 eV/atom
Volume   20.93 Å³ per atom

=====

[2]
Entry from the Open Quantum Materials Database: an optimized crystal structure of U2Mo (PBE).

Lattice parameters (Å, degrees): 8.2067 8.2067 8.2067 60.00 60.00 60.00
With the nearest neighbours (Å) after each atom.
Positions (direct):
Mo 0.2500 0.2500 0.2500  4 U 2.51
Mo 0.5000 0.5000 0.5000  4 U 2.51
U 0.3750 0.3750 0.3750  2 Mo 2.51
U 0.8750 0.3750 0.3750  2 Mo 2.51
U 0.3750 0.8750 0.3750  2 Mo 2.51
U 0.3750 0.3750 0.8750  2 Mo 2.51

Summary:
Offset from the most stable computed form   2336 meV/atom
Formation energy from the elements   2.41 eV/atom
Volume   65.14 Å³ per atom

=====

[3]
Entry from the Open Quantum Materials Database: an optimized crystal structure of UMo (PBE).

Lattice parameters (Å, degrees): 3.8578 3.8578 3.8578 60.00 60.00 60.00
With the nearest neighbours (Å) after each atom.
Positions (direct):
Mo 0.0000 0.0000 0.0000  6 U 2.73
U 0.5000 0.5000 0.5000  6 Mo 2.73

Summary:
Offset from the most stable computed form   203 meV/atom
Formation energy from the elements   0.73 eV/atom
Volume   20.30 Å³ per atom

=====

[4]
Entry from the Open Quantum Materials Database: an optimized crystal structure of UMo (PBE).

Lattice parameters (Å, degrees): 4.1168 4.1168 4.1168 60.00 60.00 60.00
With the nearest neighbours (Å) after each atom.
Positions (direct):
Mo 0.0000 0.0000 0.0000  4 U 2.52
U 0.2500 0.2500 0.2500  4 Mo 2.52

Summary:
Offset from the most stable computed form   943 meV/atom
Formation energy from the elements   1.47 eV/atom
Volume   24.67 Å³ per atom

=====

[5]
Entry from the Open Quantum Materials Database: an optimized crystal structure of UMo (PBE).

Lattice parameters (Å, degrees): 3.0885 3.0885 4.5778 90.00 90.00 120.00
With the nearest neighbours (Å) after each atom.
Positions (direct):
Mo 0.6667 0.3333 0.7500  6 U 2.90, 6 Mo 3.09
U 0.3333 0.6667 0.2500  6 Mo 2.90, 6 U 3.09

Summary:
Offset from the most stable computed form   0 meV/atom
Formation energy from the elements   0.53 eV/atom
Volume   18.91 Å³ per atom

=====

[6]
Entry from the Open Quantum Materials Database: an optimized crystal structure of UMoW (PBE).

Lattice parameters (Å, degrees): 4.3988 4.3988 4.3988 60.00 60.00 60.00
With the nearest neighbours (Å) after each atom.
Positions (direct):
Mo 0.2500 0.2500 0.2500  4 U 2.69
U 0.0000 0.0000 0.0000  4 W 2.69, 4 Mo 2.69
W 0.7500 0.7500 0.7500  4 U 2.69

Summary:
Offset from the most stable computed form   300 meV/atom
Formation energy from the elements   1.13 eV/atom
Volume   20.06 Å³ per atom

=====

[7]
Entry from the Open Quantum Materials Database: an optimized crystal structure of UMoW (PBE).

Lattice parameters (Å, degrees): 4.4379 4.4379 4.4379 60.00 60.00 60.00
With the nearest neighbours (Å) after each atom.
Positions (direct):
Mo 0.0000 0.0000 0.0000  4 U 2.72, 4 W 2.72
U 0.2500 0.2500 0.2500  4 Mo 2.72
W 0.7500 0.7500 0.7500  4 Mo 2.72

Summary:
Offset from the most stable computed form   0 meV/atom
Formation energy from the elements   0.83 eV/atom
Volume   20.60 Å³ per atom

=====

[8]
Entry from the Open Quantum Materials Database: an optimized crystal structure of YUMo (PBE).

Lattice parameters (Å, degrees): 4.7497 4.7497 4.7497 60.00 60.00 60.00
With the nearest neighbours (Å) after each atom.
Positions (direct):
Mo 0.0000 0.0000 0.0000  4 U 2.91, 4 Y 2.91
U 0.2500 0.2500 0.2500  4 Mo 2.91
Y 0.7500 0.7500 0.7500  4 Mo 2.91

Summary:
Offset from the most stable computed form   0 meV/atom
Formation energy from the elements   0.80 eV/atom
Volume   25.26 Å³ per atom

=====

[9]
Entry from the Open Quantum Materials Database: an optimized crystal structure of ZrUMo (PBE).

Lattice parameters (Å, degrees): 4.5371 4.5371 4.5371 60.00 60.00 60.00
With the nearest neighbours (Å) after each atom.
Positions (direct):
Mo 0.7500 0.7500 0.7500  4 U 2.78
U 0.0000 0.0000 0.0000  4 Mo 2.78, 4 Zr 2.78
Zr 0.2500 0.2500 0.2500  4 U 2.78

Summary:
Offset from the most stable computed form   506 meV/atom
Formation energy from the elements   1.09 eV/atom
Volume   22.01 Å³ per atom

=====

[10]
Entry from the Open Quantum Materials Database: an optimized crystal structure of ZrUMo (PBE).

Lattice parameters (Å, degrees): 4.6229 4.6229 4.6229 60.00 60.00 60.00
With the nearest neighbours (Å) after each atom.
Positions (direct):
Mo 0.0000 0.0000 0.0000  4 Zr 2.83, 4 U 2.83
U 0.2500 0.2500 0.2500  4 Mo 2.83
Zr 0.7500 0.7500 0.7500  4 Mo 2.83

Summary:
Offset from the most stable computed form   0 meV/atom
Formation energy from the elements   0.58 eV/atom
Volume   23.29 Å³ per atom

=====

[11]
Entry from the Open Quantum Materials Database: an optimized crystal structure of Mo2W (PBE).

Lattice parameters (Å, degrees): 5.1718 5.1718 17.0435 90.00 90.00 120.00
With the nearest neighbours (Å) after each atom.
Positions (direct):
Mo 0.5000 0.0000 0.0000  6 Mo 2.59
Mo 0.0000 0.5000 0.0000  6 Mo 2.59
Mo 0.5000 0.5000 0.0000  6 Mo 2.59
Mo 0.3333 0.6667 0.1243  6 Mo 2.59-2.63
Mo 0.1631 0.3262 0.2500  6 Mo 2.53-2.64
Mo 0.1631 0.8369 0.2500  6 Mo 2.53-2.64
Mo 0.6738 0.8369 0.2500  6 Mo 2.53-2.64
Mo 0.3333 0.6667 0.3757  6 Mo 2.59-2.63
Mo 0.5000 0.0000 0.5000  6 Mo 2.59
Mo 0.0000 0.5000 0.5000  6 Mo 2.59
Mo 0.5000 0.5000 0.5000  6 Mo 2.59
Mo 0.6667 0.3333 0.6243  6 Mo 2.59-2.63
Mo 0.3262 0.1631 0.7500  6 Mo 2.53-2.64
Mo 0.8369 0.1631 0.7500  6 Mo 2.53-2.64
Mo 0.8369 0.6738 0.7500  6 Mo 2.53-2.64
Mo 0.6667 0.3333 0.8757  6 Mo 2.59-2.63
W 0.0000 0.0000 0.1028  12 Mo 2.90-3.12, 3 W 3.09
W 0.6667 0.3333 0.1487  12 Mo 2.94-3.11, 3 W 3.09
W 0.6667 0.3333 0.3513  12 Mo 2.94-3.11, 3 W 3.09
W 0.0000 0.0000 0.3972  12 Mo 2.90-3.12, 3 W 3.09
W 0.0000 0.0000 0.6028  12 Mo 2.90-3.12, 3 W 3.09
W 0.3333 0.6667 0.6487  12 Mo 2.94-3.11, 3 W 3.09
W 0.3333 0.6667 0.8513  12 Mo 2.94-3.11, 3 W 3.09
W 0.0000 0.0000 0.8972  12 Mo 2.90-3.12, 3 W 3.09

Summary:
Offset from the most stable computed form   3 meV/atom
Formation energy from the elements   0.39 eV/atom
Volume   16.45 Å³ per atom

=====

[12]
Entry from the Open Quantum Materials Database: an optimized crystal structure of MoW2 (PBE).

Lattice parameters (Å, degrees): 5.2403 5.2403 8.5613 90.00 90.00 120.00
With the nearest neighbours (Å) after each atom.
Positions (direct):
Mo 0.3333 0.6667 0.0425  12 W 2.91-3.17, 3 Mo 3.11
Mo 0.3333 0.6667 0.4575  12 W 2.91-3.17, 3 Mo 3.11
Mo 0.6667 0.3333 0.5425  12 W 2.91-3.17, 3 Mo 3.11
Mo 0.6667 0.3333 0.9575  12 W 2.91-3.17, 3 Mo 3.11
W 0.0000 0.0000 0.0000  6 W 2.64
W 0.3395 0.1698 0.2500  6 W 2.57-2.67
W 0.8302 0.1698 0.2500  6 W 2.57-2.67
W 0.8302 0.6605 0.2500  6 W 2.57-2.67
W 0.0000 0.0000 0.5000  6 W 2.64
W 0.1698 0.3395 0.7500  6 W 2.57-2.67
W 0.1698 0.8302 0.7500  6 W 2.57-2.67
W 0.6605 0.8302 0.7500  6 W 2.57-2.67

Summary:
Offset from the most stable computed form   17 meV/atom
Formation energy from the elements   0.44 eV/atom
Volume   16.97 Å³ per atom

=====

[13]
Entry from the Open Quantum Materials Database: an optimized crystal structure of MoW (PBE).

Lattice parameters (Å, degrees): 3.7031 3.7031 3.7031 60.00 60.00 60.00
With the nearest neighbours (Å) after each atom.
Positions (direct):
Mo 0.0000 0.0000 0.0000  6 W 2.62
W 0.5000 0.5000 0.5000  6 Mo 2.62

Summary:
Offset from the most stable computed form   1313 meV/atom
Formation energy from the elements   1.30 eV/atom
Volume   17.95 Å³ per atom